A plane-wave DFT calculation with GGA-PBE was carried out for crystalline BaLiRh2 at its relaxed geometry.

Results
Space group: Fm-3m, No. 225
Spin magnetization: 0.000 μB per formula unit
Raw total energy: -4.3863 eV per atom
Energy of formation from the pure elements: 0.249 eV/atom
Offset from the most stable computed form: 368 meV per atom

Cell: 4.808 4.808 4.808 Å, 60.00 60.00 60.00°
Fractional positions:
Rh (0.250, 0.250, 0.250)
Rh (0.750, 0.750, 0.750)
Li (0.000, 0.000, 0.000)
Ba (0.500, 0.500, 0.500)

***

A plane-wave DFT calculation with GGA-PBE was carried out for crystalline BaLiRh3 at its relaxed geometry.

Results
Space group: Pm-3m, No. 221
Spin magnetization: 1.053 μB per formula unit
Raw total energy: -3.6534 eV per atom
Energy of formation from the pure elements: 1.525 eV/atom
Offset from the most stable computed form: 1095 meV per atom

Cell: 5.128 5.128 5.128 Å, 90.00 90.00 90.00°
Fractional positions:
Rh (0.500, 0.000, 0.000)
Ba (0.000, 0.000, 0.000)
Rh (0.000, 0.000, 0.500)
Li (0.500, 0.500, 0.500)
Rh (0.000, 0.500, 0.000)

***

A plane-wave DFT calculation with GGA-PBE was carried out for crystalline Ba6Li3Rh at its relaxed geometry.

Results
Space group: P2_1/c, No. 14
Spin magnetization: 0.000 μB per formula unit
Raw total energy: -2.4842 eV per atom
Energy of formation from the pure elements: -0.021 eV/atom

Cell: 7.858 9.863 12.253 Å, 90.00 94.72 90.00°
Fractional positions:
Ba (0.832, 0.652, 0.453)
Ba (0.871, 0.713, 0.061)
Ba (0.332, 0.848, 0.953)
Ba (0.860, 0.954, 0.764)
Li (0.394, 0.103, 0.734)
Rh (0.000, 0.000, 0.000)
Ba (0.629, 0.213, 0.439)
Ba (0.129, 0.287, 0.939)
Li (0.500, 0.500, 0.000)
Li (0.000, 0.000, 0.500)
Rh (0.500, 0.500, 0.500)
Ba (0.140, 0.046, 0.236)
Li (0.894, 0.397, 0.234)
Ba (0.360, 0.546, 0.264)
Li (0.106, 0.603, 0.766)
Ba (0.640, 0.454, 0.736)
Li (0.606, 0.897, 0.266)
Ba (0.168, 0.348, 0.547)
Ba (0.668, 0.152, 0.047)
Ba (0.371, 0.787, 0.561)

***

Which of these has the lowest energy of formation from the pure elements?
Ba6Li3Rh